No. 1
Entry from Alexandria via LeMat-Bulk: a relaxed structure of CsGaHg2Pd (PBE).

CIF file:
```
data_CsGaHg2Pd
_chemical_formula_sum 'Cs1 Ga1 Hg2 Pd1'
_cell_length_a 5.5312
_cell_length_b 5.5312
_cell_length_c 4.9234
_cell_angle_alpha 90.00
_cell_angle_beta 90.00
_cell_angle_gamma 90.00
_space_group_name_H-M_alt 'P 4/m m m'
_space_group_IT_number 123
_space_group_name_Hall '-P 4 2'
loop_
_atom_site_label
_atom_site_type_symbol
_atom_site_fract_x
_atom_site_fract_y
_atom_site_fract_z
_atom_site_occupancy
Cs1 Cs 0.0000 0.0000 0.0000 1
Ga1 Ga 0.5000 0.5000 0.0000 1
Hg1 Hg 0.0000 0.5000 0.5000 1
Pd1 Pd 0.5000 0.5000 0.5000 1
```



No. 2
Entry from Alexandria via LeMat-Bulk: a relaxed structure of Cs2GaHgPd (PBE).

CIF file:
```
data_Cs2GaHgPd
_chemical_formula_sum 'Cs2 Ga1 Hg1 Pd1'
_cell_length_a 6.8080
_cell_length_b 6.8080
_cell_length_c 4.8746
_cell_angle_alpha 90.00
_cell_angle_beta 90.00
_cell_angle_gamma 90.00
_space_group_name_H-M_alt 'P 4/m m m'
_space_group_IT_number 123
_space_group_name_Hall '-P 4 2'
loop_
_atom_site_label
_atom_site_type_symbol
_atom_site_fract_x
_atom_site_fract_y
_atom_site_fract_z
_atom_site_occupancy
Cs1 Cs 0.0000 0.5000 0.0000 1
Ga1 Ga 0.0000 0.0000 0.5000 1
Hg1 Hg 0.5000 0.5000 0.5000 1
Pd1 Pd 0.0000 0.0000 0.0000 1
```



No. 3
Entry from Alexandria via LeMat-Bulk: a relaxed structure of Cs2GaHgPt (PBE).

CIF file:
```
data_Cs2GaHgPt
_chemical_formula_sum 'Cs2 Ga1 Hg1 Pt1'
_cell_length_a 6.8158
_cell_length_b 6.8158
_cell_length_c 4.8350
_cell_angle_alpha 90.00
_cell_angle_beta 90.00
_cell_angle_gamma 90.00
_space_group_name_H-M_alt 'P 4/m m m'
_space_group_IT_number 123
_space_group_name_Hall '-P 4 2'
loop_
_atom_site_label
_atom_site_type_symbol
_atom_site_fract_x
_atom_site_fract_y
_atom_site_fract_z
_atom_site_occupancy
Cs1 Cs 0.0000 0.5000 0.0000 1
Ga1 Ga 0.0000 0.0000 0.5000 1
Hg1 Hg 0.5000 0.5000 0.5000 1
Pt1 Pt 0.0000 0.0000 0.0000 1
```



No. 4
Entry from Alexandria via LeMat-Bulk: a relaxed structure of CsRbGaHg2 (PBE).

CIF file:
```
data_CsRbGaHg2
_chemical_formula_sum 'Cs1 Rb1 Ga1 Hg2'
_cell_length_a 5.6100
_cell_length_b 5.6100
_cell_length_c 6.6115
_cell_angle_alpha 90.00
_cell_angle_beta 90.00
_cell_angle_gamma 90.00
_space_group_name_H-M_alt 'P 4/m m m'
_space_group_IT_number 123
_space_group_name_Hall '-P 4 2'
loop_
_atom_site_label
_atom_site_type_symbol
_atom_site_fract_x
_atom_site_fract_y
_atom_site_fract_z
_atom_site_occupancy
Cs1 Cs 0.0000 0.0000 0.0000 1
Rb1 Rb 0.5000 0.5000 0.0000 1
Ga1 Ga 0.5000 0.5000 0.5000 1
Hg1 Hg 0.0000 0.5000 0.5000 1
```



No. 5
# CsRb2GaHg, relaxed, DFT PBE
# **Energy above the most stable polymorph in this dataset**: 0.0 meV/atom
data_CsRb2GaHg
_chemical_formula_sum 'Cs1 Rb2 Ga1 Hg1'
_cell_length_a 7.1545
_cell_length_b 7.1545
_cell_length_c 5.4353
_cell_angle_alpha 90.00
_cell_angle_beta 90.00
_cell_angle_gamma 90.00
_space_group_name_H-M_alt 'P 4/m m m'
_space_group_IT_number 123
_space_group_name_Hall '-P 4 2'
loop_
_atom_site_label
_atom_site_type_symbol
_atom_site_fract_x
_atom_site_fract_y
_atom_site_fract_z
_atom_site_occupancy
Cs1 Cs 0.0000 0.0000 0.0000 1
Rb1 Rb 0.0000 0.5000 0.5000 1
Ga1 Ga 0.5000 0.5000 0.0000 1
Hg1 Hg 0.5000 0.5000 0.5000 1



No. 6
# CsRb2GaHg, relaxed, DFT PBE
# **Energy above the most stable polymorph in this dataset**: 3.2 meV/atom
data_CsRb2GaHg
_chemical_formula_sum 'Cs1 Rb2 Ga1 Hg1'
_cell_length_a 7.1449
_cell_length_b 7.1449
_cell_length_c 5.4676
_cell_angle_alpha 90.00
_cell_angle_beta 90.00
_cell_angle_gamma 90.00
_space_group_name_H-M_alt 'P 4/m m m'
_space_group_IT_number 123
_space_group_name_Hall '-P 4 2'
loop_
_atom_site_label
_atom_site_type_symbol
_atom_site_fract_x
_atom_site_fract_y
_atom_site_fract_z
_atom_site_occupancy
Cs1 Cs 0.0000 0.0000 0.0000 1
Rb1 Rb 0.0000 0.5000 0.5000 1
Ga1 Ga 0.5000 0.5000 0.5000 1
Hg1 Hg 0.5000 0.5000 0.0000 1



No. 7
# CsGaHg2S, relaxed, DFT PBE
# **ΔE_f (raw)**: -315.7 meV/atom
data_CsGaHg2S
_chemical_formula_sum 'Cs1 Ga1 Hg2 S1'
_cell_length_a 5.5286
_cell_length_b 5.5286
_cell_length_c 5.1686
_cell_angle_alpha 90.00
_cell_angle_beta 90.00
_cell_angle_gamma 90.00
_space_group_name_H-M_alt 'P 4/m m m'
_space_group_IT_number 123
_space_group_name_Hall '-P 4 2'
loop_
_atom_site_label
_atom_site_type_symbol
_atom_site_fract_x
_atom_site_fract_y
_atom_site_fract_z
_atom_site_occupancy
Cs1 Cs 0.0000 0.0000 0.0000 1
Ga1 Ga 0.5000 0.5000 0.5000 1
Hg1 Hg 0.0000 0.5000 0.5000 1
S1 S 0.5000 0.5000 0.0000 1



No. 8
# Cs2GaHgSb, relaxed, DFT PBE
# **Energy above the most stable polymorph in this dataset**: 173.9 meV/atom
# **ΔE_f (raw)**: -108.9 meV/atom
data_Cs2GaHgSb
_chemical_formula_sum 'Cs2 Ga1 Hg1 Sb1'
_cell_length_a 7.1214
_cell_length_b 7.1214
_cell_length_c 5.3529
_cell_angle_alpha 90.00
_cell_angle_beta 90.00
_cell_angle_gamma 90.00
_space_group_name_H-M_alt 'P 4/m m m'
_space_group_IT_number 123
_space_group_name_Hall '-P 4 2'
loop_
_atom_site_label
_atom_site_type_symbol
_atom_site_fract_x
_atom_site_fract_y
_atom_site_fract_z
_atom_site_occupancy
Cs1 Cs 0.0000 0.5000 0.0000 1
Ga1 Ga 0.0000 0.0000 0.0000 1
Hg1 Hg 0.5000 0.5000 0.5000 1
Sb1 Sb 0.0000 0.0000 0.5000 1



No. 9
# CsGaHg2Sb, relaxed, DFT PBE
# **ΔE_f (raw)**: -96.9 meV/atom
data_CsGaHg2Sb
_chemical_formula_sum 'Cs1 Ga1 Hg2 Sb1'
_cell_length_a 5.7921
_cell_length_b 5.7921
_cell_length_c 5.4667
_cell_angle_alpha 90.00
_cell_angle_beta 90.00
_cell_angle_gamma 90.00
_space_group_name_H-M_alt 'P 4/m m m'
_space_group_IT_number 123
_space_group_name_Hall '-P 4 2'
loop_
_atom_site_label
_atom_site_type_symbol
_atom_site_fract_x
_atom_site_fract_y
_atom_site_fract_z
_atom_site_occupancy
Cs1 Cs 0.0000 0.0000 0.0000 1
Ga1 Ga 0.5000 0.5000 0.5000 1
Hg1 Hg 0.0000 0.5000 0.5000 1
Sb1 Sb 0.5000 0.5000 0.0000 1



No. 10
# CsGaHgSb2, relaxed, DFT PBE
# **ΔE_f (raw)**: -254.7 meV/atom
data_CsGaHgSb2
_chemical_formula_sum 'Cs4 Ga4 Hg4 Sb8'
_cell_length_a 6.8735
_cell_length_b 15.6151
_cell_length_c 7.2328
_cell_angle_alpha 90.00
_cell_angle_beta 90.00
_cell_angle_gamma 90.00
_space_group_name_H-M_alt 'C m m e'
_space_group_IT_number 67
_space_group_name_Hall '-C 2a 2'
loop_
_atom_site_label
_atom_site_type_symbol
_atom_site_fract_x
_atom_site_fract_y
_atom_site_fract_z
_atom_site_occupancy
Cs1 Cs 0.0000 0.2500 0.2398 1
Ga1 Ga 0.2500 0.0000 0.5000 1
Hg1 Hg 0.0000 0.0000 0.0000 1
Sb1 Sb 0.0000 0.1039 0.6966 1



No. 11
# Cs2GaHgSb, relaxed, DFT PBE
# **Energy above the most stable polymorph in this dataset**: 0.0 meV/atom
# **ΔE_f (raw)**: -282.8 meV/atom
data_Cs2GaHgSb
_chemical_formula_sum 'Cs4 Ga2 Hg2 Sb2'
_cell_length_a 10.8156
_cell_length_b 4.4666
_cell_length_c 11.1597
_cell_angle_alpha 90.00
_cell_angle_beta 117.80
_cell_angle_gamma 90.00
_space_group_name_H-M_alt 'P 1 21/m 1'
_space_group_IT_number 11
_space_group_name_Hall '-P 2yb'
loop_
_atom_site_label
_atom_site_type_symbol
_atom_site_fract_x
_atom_site_fract_y
_atom_site_fract_z
_atom_site_occupancy
Cs1 Cs 0.1221 0.2500 0.3794 1
Cs2 Cs 0.3673 0.7500 0.1073 1
Ga1 Ga 0.2903 0.7500 0.6931 1
Hg1 Hg 0.4658 0.7500 0.5704 1
Sb1 Sb 0.2169 0.2500 0.7855 1



No. 12
# Cs2GaHgSb2, relaxed, DFT PBE
# **ΔE_f (raw)**: -361.3 meV/atom
data_Cs2GaHgSb2
_chemical_formula_sum 'Cs8 Ga4 Hg4 Sb8'
_cell_length_a 7.4601
_cell_length_b 16.9329
_cell_length_c 7.3038
_cell_angle_alpha 90.00
_cell_angle_beta 90.00
_cell_angle_gamma 90.00
_space_group_name_H-M_alt 'I b a m'
_space_group_IT_number 72
_space_group_name_Hall '-I 2 2c'
loop_
_atom_site_label
_atom_site_type_symbol
_atom_site_fract_x
_atom_site_fract_y
_atom_site_fract_z
_atom_site_occupancy
Cs1 Cs 0.2287 0.1640 0.0000 1
Ga1 Ga 0.0000 0.5000 0.2500 1
Hg1 Hg 0.0000 0.0000 0.2500 1
Sb1 Sb 0.2151 0.4141 0.0000 1



No. 13
# CsGaHg2Se, relaxed, DFT PBE
# **ΔE_f (raw)**: -365.2 meV/atom
data_CsGaHg2Se
_chemical_formula_sum 'Cs1 Ga1 Hg2 Se1'
_cell_length_a 5.5400
_cell_length_b 5.5400
_cell_length_c 5.4526
_cell_angle_alpha 90.00
_cell_angle_beta 90.00
_cell_angle_gamma 90.00
_space_group_name_H-M_alt 'P 4/m m m'
_space_group_IT_number 123
_space_group_name_Hall '-P 4 2'
loop_
_atom_site_label
_atom_site_type_symbol
_atom_site_fract_x
_atom_site_fract_y
_atom_site_fract_z
_atom_site_occupancy
Cs1 Cs 0.0000 0.0000 0.0000 1
Ga1 Ga 0.5000 0.5000 0.5000 1
Hg1 Hg 0.0000 0.5000 0.5000 1
Se1 Se 0.5000 0.5000 0.0000 1



No. 14
# CsGaHg2Se4, relaxed, DFT PBE
# **ΔE_f (raw)**: -593.5 meV/atom
data_CsGaHg2Se4
_chemical_formula_sum 'Cs2 Ga2 Hg4 Se8'
_cell_length_a 6.7536
_cell_length_b 8.6039
_cell_length_c 9.5285
_cell_angle_alpha 90.00
_cell_angle_beta 90.00
_cell_angle_gamma 90.00
_space_group_name_H-M_alt 'I 2 2 2'
_space_group_IT_number 23
_space_group_name_Hall 'I 2 2'
loop_
_atom_site_label
_atom_site_type_symbol
_atom_site_fract_x
_atom_site_fract_y
_atom_site_fract_z
_atom_site_occupancy
Cs1 Cs 0.0000 0.0000 0.0000 1
Ga1 Ga 0.0000 0.0000 0.5000 1
Hg1 Hg 0.0000 0.5000 0.1698 1
Se1 Se 0.1998 0.1707 0.3489 1



No. 15
# CsGaSnHg2, relaxed, DFT PBE
# **Energy above the most stable polymorph in this dataset**: 0.0 meV/atom
data_CsGaSnHg2
_chemical_formula_sum 'Cs1 Ga1 Sn1 Hg2'
_cell_length_a 5.7234
_cell_length_b 5.7234
_cell_length_c 5.4937
_cell_angle_alpha 90.00
_cell_angle_beta 90.00
_cell_angle_gamma 90.00
_space_group_name_H-M_alt 'P 4/m m m'
_space_group_IT_number 123
_space_group_name_Hall '-P 4 2'
loop_
_atom_site_label
_atom_site_type_symbol
_atom_site_fract_x
_atom_site_fract_y
_atom_site_fract_z
_atom_site_occupancy
Cs1 Cs 0.0000 0.0000 0.0000 1
Ga1 Ga 0.5000 0.5000 0.5000 1
Sn1 Sn 0.5000 0.5000 0.0000 1
Hg1 Hg 0.0000 0.5000 0.5000 1



No. 16
# CsGaSnHg2, relaxed, DFT PBE
# **Energy above the most stable polymorph in this dataset**: 16.6 meV/atom
data_CsGaSnHg2
_chemical_formula_sum 'Cs1 Ga1 Sn1 Hg2'
_cell_length_a 6.0216
_cell_length_b 6.0216
_cell_length_c 5.5375
_cell_angle_alpha 90.00
_cell_angle_beta 90.00
_cell_angle_gamma 90.00
_space_group_name_H-M_alt 'P 4/m m m'
_space_group_IT_number 123
_space_group_name_Hall '-P 4 2'
loop_
_atom_site_label
_atom_site_type_symbol
_atom_site_fract_x
_atom_site_fract_y
_atom_site_fract_z
_atom_site_occupancy
Cs1 Cs 0.0000 0.0000 0.0000 1
Ga1 Ga 0.5000 0.5000 0.0000 1
Sn1 Sn 0.5000 0.5000 0.5000 1
Hg1 Hg 0.0000 0.5000 0.5000 1



No. 17
# CsGaHg2Te, relaxed, DFT PBE
# **ΔE_f (raw)**: -341.7 meV/atom
data_CsGaHg2Te
_chemical_formula_sum 'Cs1 Ga1 Hg2 Te1'
_cell_length_a 5.5974
_cell_length_b 5.5974
_cell_length_c 5.8576
_cell_angle_alpha 90.00
_cell_angle_beta 90.00
_cell_angle_gamma 90.00
_space_group_name_H-M_alt 'P 4/m m m'
_space_group_IT_number 123
_space_group_name_Hall '-P 4 2'
loop_
_atom_site_label
_atom_site_type_symbol
_atom_site_fract_x
_atom_site_fract_y
_atom_site_fract_z
_atom_site_occupancy
Cs1 Cs 0.0000 0.0000 0.0000 1
Ga1 Ga 0.5000 0.5000 0.5000 1
Hg1 Hg 0.0000 0.5000 0.5000 1
Te1 Te 0.5000 0.5000 0.0000 1



No. 18
Entry from Alexandria via LeMat-Bulk: a relaxed structure of CsTlGa2Hg (PBE).

CIF file:
```
data_CsTlGa2Hg
_chemical_formula_sum 'Cs1 Tl1 Ga2 Hg1'
_cell_length_a 5.4667
_cell_length_b 5.4667
_cell_length_c 6.1833
_cell_angle_alpha 90.00
_cell_angle_beta 90.00
_cell_angle_gamma 90.00
_space_group_name_H-M_alt 'P 4/m m m'
_space_group_IT_number 123
_space_group_name_Hall '-P 4 2'
loop_
_atom_site_label
_atom_site_type_symbol
_atom_site_fract_x
_atom_site_fract_y
_atom_site_fract_z
_atom_site_occupancy
Cs1 Cs 0.0000 0.0000 0.0000 1
Tl1 Tl 0.5000 0.5000 0.0000 1
Ga1 Ga 0.0000 0.5000 0.5000 1
Hg1 Hg 0.5000 0.5000 0.5000 1
```



No. 19
Entry from Alexandria via LeMat-Bulk: a relaxed structure of CsGaHgW2 (PBE).

CIF file:
```
data_CsGaHgW2
_chemical_formula_sum 'Cs1 Ga1 Hg1 W2'
_cell_length_a 4.9356
_cell_length_b 4.9356
_cell_length_c 6.8455
_cell_angle_alpha 90.00
_cell_angle_beta 90.00
_cell_angle_gamma 90.00
_space_group_name_H-M_alt 'P 4/m m m'
_space_group_IT_number 123
_space_group_name_Hall '-P 4 2'
loop_
_atom_site_label
_atom_site_type_symbol
_atom_site_fract_x
_atom_site_fract_y
_atom_site_fract_z
_atom_site_occupancy
Cs1 Cs 0.0000 0.0000 0.0000 1
Ga1 Ga 0.0000 0.0000 0.5000 1
Hg1 Hg 0.5000 0.5000 0.0000 1
W1 W 0.0000 0.5000 0.5000 1
```



No. 20
# Cs2HoGaTe4, relaxed, DFT PBE
# **ΔE_f (raw)**: -980.9 meV/atom
data_Cs2HoGaTe4
_chemical_formula_sum 'Cs16 Ho8 Ga8 Te32'
_cell_length_a 6.7304
_cell_length_b 15.9941
_cell_length_c 28.2293
_cell_angle_alpha 90.00
_cell_angle_beta 90.00
_cell_angle_gamma 90.00
_space_group_name_H-M_alt 'F d d d'
_space_group_IT_number 70
loop_
_space_group_symop_operation_xyz
'x,y,z'
'-x,-y,-z'
'-x+1/4,-y+1/4,z'
'x+1/4,y+1/4,-z'
'x,-y+1/4,-z+1/4'
'-x,y+1/4,z+1/4'
'-x+1/4,y,-z+1/4'
'x+1/4,-y,z+1/4'
'x,y+1/2,z+1/2'
'-x,-y+1/2,-z+1/2'
'-x+1/4,-y+3/4,z+1/2'
'x+1/4,y+3/4,-z+1/2'
'x,-y+3/4,-z+3/4'
'-x,y+3/4,z+3/4'
'-x+1/4,y+1/2,-z+3/4'
'x+1/4,-y+1/2,z+3/4'
'x+1/2,y,z+1/2'
'-x+1/2,-y,-z+1/2'
'-x+3/4,-y+1/4,z+1/2'
'x+3/4,y+1/4,-z+1/2'
'x+1/2,-y+1/4,-z+3/4'
'-x+1/2,y+1/4,z+3/4'
'-x+3/4,y,-z+3/4'
'x+3/4,-y,z+3/4'
'x+1/2,y+1/2,z'
'-x+1/2,-y+1/2,-z'
'-x+3/4,-y+3/4,z'
'x+3/4,y+3/4,-z'
'x+1/2,-y+3/4,-z+1/4'
'-x+1/2,y+3/4,z+1/4'
'-x+3/4,y+1/2,-z+1/4'
'x+3/4,-y+1/2,z+1/4'
loop_
_atom_site_label
_atom_site_type_symbol
_atom_site_fract_x
_atom_site_fract_y
_atom_site_fract_z
_atom_site_occupancy
Cs1 Cs 0.1250 0.1250 0.3063 1
Ho1 Ho 0.1250 0.1250 0.1250 1
Ga1 Ga 0.1250 0.1250 0.6250 1
Te1 Te 0.0981 0.2746 0.8203 1



Result set for energy: -10.888, -10.740, -12.042, -5.580, -6.001, -5.985, -10.190, -9.703, -9.091, -54.802, -21.144, -61.794, -9.794, -46.340, -8.523, -8.440, -9.334, -8.399, -20.424, -237.805 eV for the cell shown, one per record in the order listed.